Compound: YSc2Tl
Source: Alexandria via LeMat-Bulk
Functional: GGA-PBEsol
Structure: relaxed

```
YSc2Tl
1.0
-2.251 2.251 4.747
2.251 -2.251 4.747
2.251 2.251 -4.747
Y Sc Tl
1 2 1
Cartesian
0.000 0.000 0.000
2.251 0.000 2.374
0.000 2.251 2.374
0.000 0.000 4.747
```

formation energy: -0.70 eV per formula unit
excess energy over the best structure of this formula in the dataset: 0.064 eV per atom
size of the total moment: 1.27 Bohr magnetons per cell
electronic total energy: -5.842 eV per atom


Compound: LaAlOs3
Source: Alexandria via LeMat-Bulk
Functional: GGA-PBEsol
Structure: relaxed

```
LaAlOs3
1.0
4.775 0.000 0.000
0.000 4.775 0.000
0.000 0.000 4.775
La Al Os
1 1 3
Cartesian
0.000 0.000 0.000
2.387 2.387 2.387
0.000 0.000 2.387
0.000 2.387 0.000
2.387 0.000 0.000
```

formation energy: 14.43 eV per formula unit
size of the total moment: 0.00 Bohr magnetons per cell
electronic total energy: -6.331 eV per atom


Compound: ZrZnSI2
Source: Alexandria via LeMat-Bulk
Functional: GGA-PBEsol
Structure: relaxed

```
ZrZnSI2
1.0
5.485 0.000 0.000
0.000 5.485 0.000
0.000 0.000 5.439
Zr Zn S I
1 1 1 2
Cartesian
0.000 0.000 0.000
0.000 0.000 2.719
2.743 2.743 2.719
0.000 2.743 0.000
2.743 0.000 0.000
```

formation energy without anion corrections: 0.40 eV per atom
size of the total moment: 1.24 Bohr magnetons per cell
electronic total energy: -3.320 eV per atom


Compound: CaGa4O7
Source: Alexandria via LeMat-Bulk
Functional: GGA-PBEsol
Structure: relaxed

```
CaGa4O7
1.0
6.276 -4.493 0.000
6.276 4.493 0.000
-0.213 0.000 5.235
Ca Ga O
2 8 14
Cartesian
6.116 3.231 3.926
6.223 -3.231 1.309
2.492 0.860 4.665
2.598 -0.860 2.047
5.080 0.825 0.972
4.973 -0.825 3.589
7.366 0.825 1.646
7.260 -0.825 4.264
9.741 0.860 3.188
9.847 -0.860 0.570
1.571 0.587 3.098
6.223 3.625 1.309
4.163 2.105 5.008
1.677 -0.587 0.481
4.018 0.441 2.471
3.912 -0.441 5.089
8.070 2.105 2.845
4.270 -2.105 2.390
8.427 0.441 0.146
8.321 -0.441 2.764
10.662 0.587 4.755
8.176 -2.105 0.227
6.116 -3.625 3.926
10.768 -0.587 2.137
```

formation energy without anion corrections: -1.57 eV per atom
size of the total moment: 0.00 Bohr magnetons per cell
electronic total energy: -5.926 eV per atom


Compound: GdAs
Source: Alexandria via LeMat-Bulk
Functional: GGA-PBEsol
Structure: relaxed

```
GdAs
1.0
0.000 2.900 2.900
2.900 0.000 2.900
2.900 2.900 0.000
Gd As
1 1
Cartesian
0.000 0.000 0.000
2.900 2.900 2.900
```

formation energy: -3.11 eV per formula unit
size of the total moment: 6.98 Bohr magnetons per cell
electronic total energy: -11.331 eV per atom


Compound: KGeRhN2
Source: Alexandria via LeMat-Bulk
Functional: GGA-PBEsol
Structure: relaxed

```
KGeRhN2
1.0
3.769 0.000 0.000
0.000 3.769 0.000
0.000 0.000 5.921
K Ge Rh N
1 1 1 2
Cartesian
0.000 0.000 0.000
0.000 0.000 2.961
1.884 1.884 0.000
0.000 1.884 2.961
1.884 0.000 2.961
```

formation energy without anion corrections: 1.82 eV per atom
size of the total moment: 1.33 Bohr magnetons per cell
electronic total energy: -4.431 eV per atom


Compound: Y2As
Source: Alexandria via LeMat-Bulk
Functional: GGA-PBEsol
Structure: relaxed

```
Y2As
1.0
-1.767 1.767 12.778
1.767 -1.767 12.778
1.767 1.767 -12.778
Y As
4 2
Cartesian
1.767 0.883 1.589
1.767 0.883 4.800
0.000 0.883 7.978
0.000 0.883 11.190
1.767 -0.883 9.584
0.000 2.650 3.195
```

formation energy: -2.06 eV per formula unit
size of the total moment: 0.00 Bohr magnetons per cell
electronic total energy: -6.937 eV per atom


Compound: SbAu
Source: Alexandria via LeMat-Bulk
Functional: GGA-PBEsol
Structure: relaxed

```
SbAu
1.0
2.957 0.000 0.000
0.000 3.840 0.000
0.000 0.000 4.046
Sb Au
1 1
Cartesian
0.000 0.000 0.000
0.000 1.920 2.023
```

formation energy without anion corrections: 0.00 eV per atom
size of the total moment: 0.00 Bohr magnetons per cell
electronic total energy: -4.238 eV per atom


Compound: ReAgPt
Source: Alexandria via LeMat-Bulk
Functional: GGA-PBEsol
Structure: relaxed

```
ReAgPt
1.0
-1.364 1.364 6.136
1.364 -1.364 6.136
1.364 1.364 -6.136
Re Ag Pt
1 1 1
Cartesian
0.000 0.000 0.000
0.000 0.000 4.010
0.000 0.000 7.974
```

formation energy: 0.60 eV per formula unit
excess energy over the best structure of this formula in the dataset: 0.000 eV per atom
size of the total moment: 0.00 Bohr magnetons per cell
electronic total energy: -7.669 eV per atom


Compound: ScCdPb
Source: Alexandria via LeMat-Bulk
Functional: GGA-PBEsol
Structure: relaxed

```
ScCdPb
1.0
4.790 0.000 0.000
-2.395 4.148 0.000
0.000 0.000 3.488
Sc Cd Pb
1 1 1
Cartesian
0.000 0.000 0.000
0.000 2.765 2.253
2.395 1.383 1.318
```

formation energy: -0.57 eV per formula unit
size of the total moment: 0.00 Bohr magnetons per cell
electronic total energy: -4.125 eV per atom


Compound: Sm5Si2B8
Source: Alexandria via LeMat-Bulk
Functional: GGA-PBEsol
Structure: relaxed

```
Sm5Si2B8
1.0
7.288 0.000 0.000
0.000 7.288 0.000
0.000 0.000 8.260
Sm Si B
10 4 16
Cartesian
0.000 0.000 0.000
1.318 2.327 2.284
1.318 2.327 5.977
2.327 5.971 2.284
2.327 5.971 5.977
3.644 3.644 0.000
4.962 1.318 2.284
4.962 1.318 5.977
5.971 4.962 2.284
5.971 4.962 5.977
0.826 4.470 0.000
2.818 0.826 0.000
4.470 6.463 0.000
6.463 2.818 0.000
0.000 0.000 2.833
0.000 0.000 5.427
0.287 6.035 4.130
0.661 4.306 4.130
1.253 0.287 4.130
2.391 3.931 4.130
2.983 0.661 4.130
3.357 2.391 4.130
3.644 3.644 2.833
3.644 3.644 5.427
3.931 4.898 4.130
4.306 6.627 4.130
4.898 3.357 4.130
6.035 7.002 4.130
6.627 2.983 4.130
7.002 1.253 4.130
```

formation energy without anion corrections: -0.66 eV per atom
size of the total moment: 0.00 Bohr magnetons per cell
electronic total energy: -6.868 eV per atom


Compound: TcRuRh2
Source: Alexandria via LeMat-Bulk
Functional: GGA-PBEsol
Structure: relaxed

```
TcRuRh2
1.0
2.658 0.000 0.000
0.000 3.796 0.000
0.000 0.000 5.350
Tc Ru Rh
1 1 2
Cartesian
0.000 0.000 0.000
1.329 1.898 4.032
0.000 0.000 2.706
1.329 1.898 1.331
```

formation energy: -0.10 eV per formula unit
excess energy over the best structure of this formula in the dataset: 0.003 eV per atom
size of the total moment: 0.00 Bohr magnetons per cell
electronic total energy: -9.454 eV per atom


Compound: Zr3Mo4
Source: Alexandria via LeMat-Bulk
Functional: GGA-PBEsol
Structure: relaxed

```
Zr3Mo4
1.0
-1.596 1.596 12.197
1.596 -1.596 12.197
1.596 1.596 -12.197
Zr Mo
3 4
Cartesian
0.000 0.000 0.000
0.000 0.000 7.170
0.000 0.000 17.225
0.000 0.000 3.222
0.000 0.000 10.391
0.000 0.000 14.003
0.000 0.000 21.172
```

formation energy: -0.22 eV per formula unit
size of the total moment: 0.00 Bohr magnetons per cell
electronic total energy: -10.651 eV per atom


Compound: SiSbTe2W
Source: Alexandria via LeMat-Bulk
Functional: GGA-PBEsol
Structure: relaxed

```
SiSbTe2W
1.0
5.049 0.000 0.000
0.000 5.049 0.000
0.000 0.000 4.973
Si Sb Te W
1 1 2 1
Cartesian
0.000 0.000 0.000
0.000 0.000 2.487
0.000 2.524 0.000
2.524 0.000 0.000
2.524 2.524 2.487
```

formation energy without anion corrections: 1.42 eV per atom
size of the total moment: 2.47 Bohr magnetons per cell
electronic total energy: -4.811 eV per atom


Compound: CaTe2
Source: Alexandria via LeMat-Bulk
Functional: GGA-PBEsol
Structure: relaxed

```
CaTe2
1.0
5.978 0.000 0.000
0.000 7.623 0.000
0.000 0.000 4.706
Ca Te
2 4
Cartesian
0.000 0.000 0.000
2.989 3.811 2.353
1.076 2.944 0.000
1.912 6.755 2.353
4.065 0.867 2.353
4.901 4.679 0.000
```

formation energy without anion corrections: -0.94 eV per atom
size of the total moment: 0.00 Bohr magnetons per cell
electronic total energy: -3.998 eV per atom


Compound: Na2AsPCO7
Source: Alexandria via LeMat-Bulk
Functional: GGA-PBEsol
Structure: relaxed

```
Na2AsPCO7
1.0
5.496 0.000 0.000
0.000 6.556 0.000
-0.477 0.000 9.129
Na As P C O
4 2 2 2 14
Cartesian
1.107 0.064 2.488
1.107 3.214 2.488
3.912 3.342 6.641
3.912 6.492 6.641
1.492 1.639 7.927
3.528 4.917 1.202
0.987 4.917 8.223
4.033 1.639 0.906
1.057 1.639 5.411
3.963 4.917 3.718
0.015 1.639 1.191
-0.023 1.639 6.114
1.160 1.639 4.173
1.674 4.917 0.688
1.755 3.688 7.665
1.755 6.147 7.665
2.189 1.639 6.174
2.831 4.917 2.955
3.264 0.410 1.464
3.264 2.868 1.464
3.345 1.639 8.441
3.860 4.917 4.956
5.043 4.917 3.015
5.005 4.917 7.938
```

formation energy without anion corrections: -1.79 eV per atom
size of the total moment: 0.00 Bohr magnetons per cell
electronic total energy: -6.801 eV per atom


Compound: Te2AsP
Source: Alexandria via LeMat-Bulk
Functional: GGA-PBEsol
Structure: relaxed

```
Te2AsP
1.0
0.000 3.493 3.493
3.493 0.000 3.493
3.493 3.493 0.000
Te As P
2 1 1
Cartesian
1.747 1.747 1.747
5.240 5.240 5.240
0.000 0.000 0.000
3.493 3.493 3.493
```

excess energy over the best structure of this formula in the dataset: 0.000 eV per atom
formation energy without anion corrections: 0.46 eV per atom
size of the total moment: 0.00 Bohr magnetons per cell
electronic total energy: -4.024 eV per atom


Compound: SrY2Mg
Source: Alexandria via LeMat-Bulk
Functional: GGA-PBEsol
Structure: relaxed

```
SrY2Mg
1.0
4.030 0.000 0.000
0.000 5.632 0.000
0.000 0.000 5.649
Sr Y Mg
1 2 1
Cartesian
0.000 0.000 0.000
0.000 2.816 2.824
2.015 0.000 2.824
2.015 2.816 0.000
```

formation energy: 0.58 eV per formula unit
size of the total moment: 0.00 Bohr magnetons per cell
electronic total energy: -4.156 eV per atom


Compound: NaTlGa2Br
Source: Alexandria via LeMat-Bulk
Functional: GGA-PBEsol
Structure: relaxed

```
NaTlGa2Br
1.0
5.243 0.000 0.000
0.000 5.243 0.000
0.000 0.000 5.913
Na Tl Ga Br
1 1 2 1
Cartesian
0.000 0.000 0.000
0.000 0.000 2.956
0.000 2.622 2.956
2.622 0.000 2.956
2.622 2.622 0.000
```

formation energy without anion corrections: 0.13 eV per atom
size of the total moment: 0.00 Bohr magnetons per cell
electronic total energy: -2.391 eV per atom


Compound: Y2SbAs
Source: Alexandria via LeMat-Bulk
Functional: GGA-PBEsol
Structure: relaxed

```
Y2SbAs
1.0
3.233 -3.827 0.000
3.233 3.827 0.000
0.000 0.000 3.829
Y Sb As
2 1 1
Cartesian
1.617 1.914 0.000
1.617 -1.914 0.000
0.000 0.000 1.914
3.233 0.000 1.914
```

formation energy without anion corrections: -0.98 eV per atom
size of the total moment: 0.00 Bohr magnetons per cell
electronic total energy: -6.805 eV per atom